Record 1
The following is a PBE calculation of RbZnF3 after structural relaxation, from the Alexandria database.

The calculation puts the volume at 17.12 Å³ per atom. As for the formation energy from raw total energies: -2.494 eV per atom. As for the total energy: -4.065 eV per atom. The total magnetization is 0.00 μB per formula unit.

a b c (Å): 5.687 7.695 8.580
angles (deg): 114.19 90.00 90.00
Sites, in units of the cell vectors:
Rb: 0.758 0.014 0.645
Rb: 0.742 0.514 0.145
Rb: 0.242 0.986 0.355
Rb: 0.258 0.486 0.855
F: 0.545 0.828 0.879
F: 0.281 0.077 0.730
F: 0.781 0.423 0.770
F: 0.719 0.923 0.270
F: 0.219 0.577 0.230
F: 0.045 0.672 0.621
F: 0.455 0.172 0.121
F: 0.071 0.850 0.019
F: 0.571 0.650 0.481
F: 0.429 0.350 0.519
F: 0.955 0.328 0.379
F: 0.929 0.150 0.981
Zn: 0.752 0.496 0.580
Zn: 0.248 0.504 0.420
Zn: 0.748 0.996 0.080
Zn: 0.252 0.004 0.920

---

Record 2
The following is a PBE calculation of RbZn2F4 after structural relaxation, from the Alexandria database.

The calculation puts the volume at 14.95 Å³ per atom. As for the formation energy from raw total energies: -2.066 eV per atom. As for the total energy: -3.637 eV per atom. The total magnetization is 0.00 μB per formula unit.

a b c (Å): 3.607 5.570 11.015
angles (deg): 90.00 90.00 108.89
Sites, in units of the cell vectors:
F: 0.249 0.498 0.909
F: 0.906 0.813 0.750
F: 0.500 0.000 0.000
F: 0.751 0.502 0.091
F: 0.094 0.187 0.250
F: 0.500 0.000 0.500
F: 0.249 0.498 0.591
F: 0.751 0.502 0.409
Zn: 0.878 0.755 0.941
Zn: 0.122 0.245 0.059
Zn: 0.122 0.245 0.441
Zn: 0.878 0.755 0.559
Rb: 0.385 0.770 0.250
Rb: 0.615 0.230 0.750